## HfAgAs2 (PBE-GGA)

Data for a geometry-optimized HfAgAs2 structure.

Summary:
As for the magnetic moment: 0.0 μB/f.u. The crystal system is cubic. As for the total energy: -21.63 eV/f.u.

a b c (Å): 4.754 4.754 4.754
angles (deg): 60.00 60.00 60.00
Sites, in units of the cell vectors:
1 Hf 0.000 0.000 0.000
2 Ag 0.750 0.750 0.750
3 As 0.250 0.250 0.250
4 As 0.500 0.500 0.500


## USiNi (PBE-GGA)

Data for a geometry-optimized USiNi structure.

Summary:
As for the magnetic moment: 2.4 μB/f.u. The crystal system is cubic. As for the total energy: -21.20 eV/f.u.

a b c (Å): 4.338 4.338 4.338
angles (deg): 60.00 60.00 60.00
Sites, in units of the cell vectors:
1 U 0.000 0.000 0.000
2 Si 0.750 0.750 0.750
3 Ni 0.500 0.500 0.500


## HfZnNO (PBE-GGA)

Data for a geometry-optimized HfZnNO structure.

Summary:
As for the magnetic moment: 0.0 μB/f.u. The crystal system is orthorhombic. As for the total energy: -29.47 eV/f.u.

a b c (Å): 5.848 6.674 5.653
angles (deg): 90.00 90.00 90.00
Sites, in units of the cell vectors:
1 Hf 0.073 0.115 0.000
2 Hf 0.427 0.115 0.500
3 Hf 0.573 0.885 0.000
4 Hf 0.927 0.885 0.500
5 Zn 0.123 0.595 0.955
6 Zn 0.377 0.595 0.455
7 Zn 0.623 0.405 0.955
8 Zn 0.877 0.405 0.455
9 N 0.066 0.628 0.606
10 N 0.434 0.628 0.106
11 N 0.566 0.372 0.606
12 N 0.934 0.372 0.106
13 O 0.096 0.142 0.643
14 O 0.404 0.142 0.143
15 O 0.596 0.858 0.643
16 O 0.904 0.858 0.143


## Nb4As3W2N3 (PBE-GGA)

Data for a geometry-optimized Nb4As3W2N3 structure.

Summary:
As for the magnetic moment: 0.0 μB/f.u. The crystal system is monoclinic. As for the total energy: -109.87 eV/f.u.

a b c (Å): 5.765 5.765 12.265
angles (deg): 103.47 103.47 59.80
Sites, in units of the cell vectors:
1 Nb 0.029 0.203 0.094
2 Nb 0.134 0.306 0.406
3 Nb 0.203 0.029 0.594
4 Nb 0.306 0.134 0.906
5 Nb 0.694 0.866 0.094
6 Nb 0.797 0.971 0.406
7 Nb 0.866 0.694 0.594
8 Nb 0.971 0.797 0.906
9 As 0.101 0.899 0.250
10 As 0.271 0.415 0.750
11 As 0.415 0.271 0.250
12 As 0.585 0.729 0.750
13 As 0.729 0.585 0.250
14 As 0.899 0.101 0.750
15 W 0.361 0.521 0.081
16 W 0.479 0.639 0.419
17 W 0.521 0.361 0.581
18 W 0.639 0.479 0.919
19 N 0.000 0.500 0.000
20 N 0.169 0.669 0.498
21 N 0.331 0.831 0.002
22 N 0.500 0.000 0.500
23 N 0.669 0.169 0.998
24 N 0.831 0.331 0.502


## RbTbBeTe3 (PBE-GGA)

Data for a geometry-optimized RbTbBeTe3 structure.

Summary:
As for the magnetic moment: 0.0 μB/f.u. The crystal system is orthorhombic. As for the total energy: -24.87 eV/f.u.

a b c (Å): 8.534 8.534 11.689
angles (deg): 90.00 90.00 150.78
Sites, in units of the cell vectors:
1 Rb 0.242 0.758 0.750
2 Rb 0.758 0.242 0.250
3 Tb 0.500 0.500 0.000
4 Tb 0.500 0.500 0.500
5 Be 0.037 0.963 0.250
6 Be 0.963 0.037 0.750
7 Te 0.122 0.878 0.076
8 Te 0.122 0.878 0.424
9 Te 0.443 0.557 0.250
10 Te 0.557 0.443 0.750
11 Te 0.878 0.122 0.576
12 Te 0.878 0.122 0.924